No. 1
First-principles (GGA-PBE) data for a relaxed Sr8P5O crystal, as listed in Alexandria.

Structure (POSCAR):
```
Sr8P5O
1.0
-4.5419 4.5419 4.7035
4.5419 -4.5419 4.7035
4.5419 4.5419 -4.7035
Sr P O
8 5 1
Cartesian
3.8453 1.7067 0.7100 Sr
2.8352 -0.6966 3.9935 Sr
0.4692 1.9532 1.8709 Sr
1.7067 5.2385 -0.7100 Sr
-2.5887 4.0727 2.8326 Sr
2.5887 5.0111 2.8326 Sr
0.6966 2.8352 5.4135 Sr
-0.4692 7.1306 1.8709 Sr
1.2184 2.3145 -1.0752 P
6.7693 1.2184 1.0752 P
0.0000 0.0000 4.7035 P
3.3235 2.2274 3.6284 P
-2.2274 3.3235 5.7787 P
0.0000 4.5419 2.3518 O
```

Output
Formation energy from raw total energies in meV/atom: -1200.2
Spin magnetization in μB/cell: 0.00
Crystal system: tetragonal
N(E_F) in states/eV/cell: 9.77


No. 2
First-principles (GGA-PBE) data for a relaxed LaTl2CuCl6 crystal, as listed in Alexandria.

Structure (POSCAR):
```
LaTl2CuCl6
1.0
7.7533 0.0000 0.0000
0.0000 8.6740 0.0000
-7.7089 0.0000 9.4586
La Tl Cu Cl
2 4 2 12
Cartesian
0.0000 0.0000 0.0000 La
-3.8544 4.3370 4.7293 La
-3.6524 0.7331 7.0917 Tl
0.2020 3.6039 2.3624 Tl
-0.1576 5.0701 7.0962 Tl
3.6968 7.9409 2.3669 Tl
0.0222 0.0000 4.7293 Cu
3.8766 4.3370 0.0000 Cu
-0.7633 0.2997 2.7458 Cl
-4.6178 4.0373 7.4751 Cl
1.3004 6.2923 0.5237 Cl
-2.5541 6.7186 5.2530 Cl
2.3682 1.3646 0.4332 Cl
-1.4862 2.9724 5.1625 Cl
1.5306 5.7016 4.2961 Cl
-2.3238 7.3094 9.0254 Cl
2.5985 1.9554 4.2056 Cl
-1.2560 2.3816 8.9350 Cl
4.6621 4.6367 1.9835 Cl
0.8077 8.3743 6.7129 Cl
```

Output
Formation energy from raw total energies in meV/atom: -1421.1
Spin magnetization in μB/cell: 0.21
Crystal system: monoclinic
N(E_F) in states/eV/cell: 0.00


No. 3
First-principles (GGA-PBE) data for a relaxed ZrNpF6 crystal, as listed in Alexandria.

Structure (POSCAR):
```
ZrNpF6
1.0
5.6159 0.0000 0.0000
-2.8066 4.9367 0.0000
-2.5859 -1.7662 5.3676
Zr Np F
1 1 6
Cartesian
0.0000 0.0000 0.0000 Zr
-2.6962 1.5852 2.6838 Np
-2.0539 -0.2386 4.0047 F
-0.8384 1.4718 1.2704 F
1.7346 0.2333 1.1766 F
-1.5112 2.9371 4.1910 F
1.0618 1.6987 4.0973 F
2.2774 3.4091 1.3629 F
```

Output
Formation energy from raw total energies in meV/atom: -3339.2
Spin magnetization in μB/cell: 5.00
Crystal system: triclinic
N(E_F) in states/eV/cell: 9.77


No. 4
First-principles (GGA-PBE) data for a relaxed PrTl2Re3O12 crystal, as listed in Alexandria.

Structure (POSCAR):
```
PrTl2Re3O12
1.0
3.7243 2.1502 6.2348
-3.7243 2.1502 6.2348
0.0000 -4.3005 6.2348
Pr Tl Re O
1 2 3 12
Cartesian
0.0000 0.0000 0.0000 Pr
0.0000 0.0000 6.5974 Tl
0.0000 0.0000 12.1070 Tl
-3.7243 0.0000 9.3522 Re
-1.8621 1.0751 3.1174 Re
1.8621 1.0751 3.1174 Re
-2.3624 -1.3639 9.2845 O
0.0000 -2.2502 4.9852 O
-1.9488 1.1251 4.9852 O
0.0000 -2.7278 9.4200 O
-2.3624 1.3639 9.4200 O
-1.9488 -1.1251 13.7192 O
1.9488 1.1251 4.9853 O
2.3624 -1.3639 9.2845 O
0.0000 2.7278 9.2845 O
1.9488 -1.1251 13.7192 O
0.0000 2.2502 13.7192 O
2.3624 1.3639 9.4200 O
```

Output
Formation energy from raw total energies in meV/atom: -1662.6
Spin magnetization in μB/cell: 1.00
Crystal system: trigonal
N(E_F) in states/eV/cell: 5.51


Number 1: calculated volume 27.7 Å³/atom, VASP energy -4.4475 eV per atom. Number 2: calculated volume 31.8 Å³/atom, VASP energy -3.9047 eV per atom. Number 3: calculated volume 18.6 Å³/atom, VASP energy -7.4288 eV per atom. Number 4: calculated volume 16.6 Å³/atom, VASP energy -7.5712 eV per atom.